Entry from Alexandria via LeMat-Bulk: a relaxed Sr5Hg crystal (PBE).

- DFT formation energy: -1.09 eV per formula unit
- Electronic total energy: -9.8 eV/f.u.
- ΔE to the lowest computed polymorph: 0 meV per atom

Cell lengths 4.110, 4.110, 16.615 Å; angles 90.00, 90.00, 90.00 degrees
Space group P4/mmm (No. 123)
Symmetry-distinct sites (fractional):
Sr1 0.000 0.000 0.000 (multiplicity 1)
Sr2 0.000 0.000 0.386 (multiplicity 2)
Sr3 0.500 0.500 0.192 (multiplicity 2)
Hg1 0.500 0.500 0.500 (multiplicity 1)